(1)
This record from the Alexandria database describes BaZnTe2 after structural relaxation. The functional is PBE.

Unit cell a=4.2668 b=5.2182 c=11.6941 alpha=90.00 beta=90.00 gamma=90.00
Closest atoms and distances in Å follow each position.
Space group Imm2 (No. 44)
Unique sites:
Ba: 0.0000 0.0000 0.0000 (multiplicity 2)  6 Te 3.42-3.65, 2 Zn 3.61
Zn: 0.0000 0.5000 0.7869 (multiplicity 2)  2 Te 2.86
Te: 0.0000 0.0000 0.4493 (multiplicity 2)  2 Zn 2.86
Te: 0.0000 0.5000 0.2188 (multiplicity 2)  4 Zn 3.46, 2 Ba 3.65, 4 Te 3.75-3.81

Properties
E_form (uncorrected) ... -234 kJ/mol of formula units
Energy ... -2.977 eV/atom
Calculated volume ... 32.55 Å³/atom
D(E_F) ... 0.51 states/eV per atom

=====

(2)
This record from the Alexandria database describes TmZn3Ag2 after structural relaxation. The functional is PBE.

Unit cell a=4.4870 b=4.4870 c=12.4935 alpha=90.00 beta=90.00 gamma=120.00
Closest atoms and distances in Å follow each position.
Space group P6_3/mmc (No. 194)
Unique sites:
Tm: 0.0000 0.0000 0.2500 (multiplicity 2)  8 Zn 2.95-3.12
Zn: 0.0000 0.0000 0.0000 (multiplicity 2)  6 Ag 2.80, 6 Zn 3.11, 2 Tm 3.12
Zn: 0.3333 0.6667 0.1375 (multiplicity 4)  4 Ag 2.68-2.77, 1 Zn 2.81, 3 Tm 2.95
Ag: 0.3333 0.6667 0.5841 (multiplicity 4)  7 Zn 2.68-2.80

Properties
Energy ... -2.531 eV/atom
Calculated volume ... 18.15 Å³/atom
D(E_F) ... 0.29 states/eV per atom
Energy of formation ... -0.199 eV per atom

=====

(3)
This record from the Alexandria database describes Pu2Ga8Ag after structural relaxation. The functional is PBE.

Unit cell a=4.3766 b=4.3766 c=11.2770 alpha=90.00 beta=90.00 gamma=90.00
Closest atoms and distances in Å follow each position.
Space group P4/mmm (No. 123)
Unique sites:
Pu: 0.0000 0.0000 0.1866 (multiplicity 2)  12 Ga 2.96-3.09
Ga: 0.0000 0.5000 0.0000 (multiplicity 2)  4 Pu 3.04, 8 Ga 3.05-3.09
Ga: 0.0000 0.5000 0.3629 (multiplicity 4)  2 Ag 2.68, 2 Ga 2.94, 2 Pu 2.96
Ga: 0.5000 0.5000 0.1886 (multiplicity 2)  8 Ga 2.94-3.05, 4 Pu 3.09
Ag: 0.0000 0.0000 0.5000 (multiplicity 1)  8 Ga 2.68

Properties
Energy ... -5.339 eV/atom
Calculated volume ... 19.64 Å³/atom
D(E_F) ... 1.72 states/eV per atom
Energy of formation ... -0.273 eV per atom

=====

(4)
This record from the Alexandria database describes Zr6TiPd after structural relaxation. The functional is PBE.

Unit cell a=4.7494 b=4.7494 c=15.0964 alpha=90.00 beta=90.00 gamma=90.00
Closest atoms and distances in Å follow each position.
Space group I4/mmm (No. 139)
Unique sites:
Zr: 0.0000 0.0000 0.2437 (multiplicity 4)  12 Zr 3.07-3.36
Zr: 0.0000 0.5000 0.1151 (multiplicity 8)  2 Pd 2.94, 2 Ti 2.94, 4 Zr 3.07-3.19
Ti: 0.0000 0.0000 0.0000 (multiplicity 2)  8 Zr 2.94
Pd: 0.0000 0.0000 0.5000 (multiplicity 2)  8 Zr 2.94

Properties
Energy ... -8.144 eV/atom
Calculated volume ... 21.28 Å³/atom
D(E_F) ... 1.36 states/eV per atom
Energy of formation ... -0.097 eV per atom